## KIn2Pd (PBE)

Data for an optimized crystal structure of KIn2Pd.

Cell lengths 7.2591, 7.2591, 7.2591 Å; angles 90.00, 90.00, 90.00 degrees
Space group Fm-3m (No. 225)
Symmetry-distinct sites (fractional):
K1 0.0000 0.0000 0.0000
In1 0.2500 0.2500 0.2500
Pd1 0.0000 0.0000 0.5000

Formation enthalpy at 0 K in eV per atom: -0.022
DFT total energy in eV/atom: -2.96

---

## K2TlCu2Cl7 (PBE)

Data for an optimized crystal structure of K2TlCu2Cl7.

Cell lengths 6.9270, 6.9271, 12.9967 Å; angles 90.00, 105.45, 90.00 degrees
Space group C2/m (No. 12)
Symmetry-distinct sites (fractional):
K1 0.1802 0.0000 0.3611
Tl1 0.0000 0.0000 0.0000
Cu1 0.0978 0.5000 0.1940
Cl1 0.0000 0.5000 0.0000
Cl2 0.1552 0.2501 0.8109
Cl3 0.1926 0.5000 0.3852

Uncorrected formation energy in eV/f.u.: -12.80
DFT total energy in eV/atom: -3.21